(1)
CePmPd2, optimized geometry, DFT PBE; symmetry = P4/mmm, No. 123; D(E_F) = 2.078 states/eV per atom; E_tot = -0.21869 hartree per atom; total magnetic moment = 1.03 μB/f.u.
1.0
-1.8965 0.3027 2.9652
3.5751 -2.6207 2.5541
2.4185 4.3718 1.1005
Pd Ce Pm
2 1 1
Direct
0.0000 0.0000 0.5000
0.0000 0.5000 0.0000
0.5000 0.0000 0.0000
0.5000 0.5000 0.5000


(2)
CePmPd6, optimized geometry, DFT PBE; symmetry = P4/mmm, No. 123; D(E_F) = 0.158 states/eV per atom; E_tot = -0.22289 hartree per atom; total magnetic moment = 0.19 μB/f.u.
1.0
-3.9361 1.1760 -0.6843
-1.3581 -3.2685 2.1945
0.1651 4.5925 6.9423
Ce Pm Pd
1 1 6
Direct
0.0000 0.0000 0.5000
0.0000 0.0000 0.0000
0.5000 0.5000 0.0000
0.5000 0.5000 0.5000
0.5000 0.0000 0.2564
0.5000 0.0000 0.7436
0.0000 0.5000 0.2564
0.0000 0.5000 0.7436


Sequential density output: 8.9; 10.6 Mg/m³